[1]
Computed, not measured: an optimized crystal structure of CaAc2ThAs4 at the PBE-GGA level of DFT.

Calculated values
V   243 Å³ per cell
DOS at the Fermi energy   1.125 states/eV/f.u.
DFT formation energy   -1.387 eV/atom

```
data_CaAc2ThAs4
_chemical_formula_sum 'Ca1 Ac2 Th1 As4'
_symmetry_space_group_name_H-M 'P 1 2/m 1'
_symmetry_Int_Tables_number 10
_cell_length_a 7.623
_cell_length_b 4.430
_cell_length_c 7.627
_cell_angle_alpha 90.00
_cell_angle_beta 109.34
_cell_angle_gamma 90.00
loop_
_symmetry_equiv_pos_as_xyz
'x,y,z'
'-x,-y,-z'
'-x,y,-z'
'x,-y,z'
loop_
_atom_site_label
_atom_site_type_symbol
_atom_site_fract_x
_atom_site_fract_y
_atom_site_fract_z
Ca1 Ca 0.000 0.000 0.000
Ac1 Ac 0.000 0.500 0.500
Ac2 Ac 0.500 0.000 0.500
Th1 Th 0.500 0.500 0.000
As1 As 0.253 0.500 0.236
As2 As 0.260 0.000 0.768
```

---

[2]
Computed, not measured: an optimized crystal structure of Ca2AcUAs4 at the PBE-GGA level of DFT.

Calculated values
V   224 Å³ per cell
DOS at the Fermi energy   4.599 states/eV/f.u.
DFT formation energy   -1.097 eV/atom

```
data_Ca2AcUAs4
_chemical_formula_sum 'Ca2 Ac1 U1 As4'
_symmetry_space_group_name_H-M 'P 1 2/m 1'
_symmetry_Int_Tables_number 10
_cell_length_a 7.336
_cell_length_b 4.328
_cell_length_c 7.511
_cell_angle_alpha 90.00
_cell_angle_beta 109.83
_cell_angle_gamma 90.00
loop_
_symmetry_equiv_pos_as_xyz
'x,y,z'
'-x,-y,-z'
'-x,y,-z'
'x,-y,z'
loop_
_atom_site_label
_atom_site_type_symbol
_atom_site_fract_x
_atom_site_fract_y
_atom_site_fract_z
Ca1 Ca 0.000 0.000 0.000
Ca2 Ca 0.000 0.500 0.500
Ac1 Ac 0.500 0.000 0.500
U1 U 0.500 0.500 0.000
As1 As 0.258 0.500 0.224
As2 As 0.267 0.000 0.777
```

---

[3]
Computed, not measured: an optimized crystal structure of AcCdAs at the PBE-GGA level of DFT.

Calculated values
V   176 Å³ per cell
DOS at the Fermi energy   0.932 states/eV/f.u.
DFT formation energy   -0.500 eV/atom

```
data_AcCdAs
_chemical_formula_sum 'Ac2 Cd2 As2'
_symmetry_space_group_name_H-M 'I 4 m m'
_symmetry_Int_Tables_number 107
_symmetry_space_group_name_Hall 'I 4 -2'
_cell_length_a 4.291
_cell_length_b 4.291
_cell_length_c 9.574
_cell_angle_alpha 90.00
_cell_angle_beta 90.00
_cell_angle_gamma 90.00
loop_
_atom_site_label
_atom_site_type_symbol
_atom_site_fract_x
_atom_site_fract_y
_atom_site_fract_z
Ac1 Ac 0.000 0.000 0.000
Cd1 Cd 0.000 0.000 0.330
As1 As 0.000 0.000 0.644
```

---

Q: V of number 1 (CaAc2ThAs4)?
A: 243 Å³ per cell